[1]
VASP calculation (PBE) on AlSb3N after structural relaxation.

Lattice parameters (Å, degrees): 5.297 5.297 5.297 90.00 90.00 90.00
Atoms (fractional coordinates):
Al 0.000 0.000 0.000
Sb 0.000 0.000 0.500
Sb 0.000 0.500 0.000
Sb 0.500 0.000 0.000
N 0.500 0.500 0.500

Energy relative to the elements, uncorrected, eV per formula unit: 7.444
E_tot, eV/atom: -3.398
D(E_F), states/eV/cell: 2.7
Polymorph energy (0 for the lowest one), eV/atom: 0.882



[2]
VASP calculation (PBE) on AlSbSeN2 after structural relaxation.

Lattice parameters (Å, degrees): 3.879 3.879 5.223 90.00 90.00 90.00
Atoms (fractional coordinates):
Al 0.000 0.000 0.000
Sb 0.500 0.500 0.500
Se 0.000 0.000 0.500
N 0.000 0.500 0.000
N 0.500 0.000 0.000

Energy relative to the elements, uncorrected, eV per formula unit: 3.430
E_tot, eV/atom: -4.914
D(E_F), states/eV/cell: 3.2
Polymorph energy (0 for the lowest one), eV/atom: 0.000



[3]
VASP calculation (PBE) on AlSbSe2N after structural relaxation.

Lattice parameters (Å, degrees): 5.173 5.173 3.593 90.00 90.00 90.00
Atoms (fractional coordinates):
Al 0.000 0.000 0.000
Sb 0.500 0.500 0.500
Se 0.000 0.500 0.000
Se 0.500 0.000 0.000
N 0.000 0.000 0.500

Energy relative to the elements, uncorrected, eV per formula unit: 0.839
E_tot, eV/atom: -4.464
D(E_F), states/eV/cell: 5.1
Polymorph energy (0 for the lowest one), eV/atom: 0.000



[4]
VASP calculation (PBE) on AlSbSeN2 after structural relaxation.

Lattice parameters (Å, degrees): 3.978 3.978 5.731 90.00 90.00 90.00
Atoms (fractional coordinates):
Al 0.000 0.000 0.000
Sb 0.500 0.500 0.500
Se 0.500 0.500 0.000
N 0.000 0.500 0.500
N 0.500 0.000 0.500

Energy relative to the elements, uncorrected, eV per formula unit: 5.324
E_tot, eV/atom: -4.535
D(E_F), states/eV/cell: 1.6
Polymorph energy (0 for the lowest one), eV/atom: 0.379